Below is a relaxed structure of BeCoAg2F6, with properties calculated at the PBE+U level.

a = 5.3060 Å, b = 5.5189 Å, c = 5.6754 Å
α = 118.27°, β = 104.30°, γ = 103.86°
Last column: nearest neighbours and their distance in Å.
Positions (direct):
Be (0.0000, 0.0000, 0.0000)  4 F 1.56-1.62
Co (0.3699, 0.8461, 0.4932)  4 F 1.95-2.13
Ag (0.2026, 0.4418, 0.7684)  5 F 2.40-2.61
Ag (0.6686, 0.3439, 0.3213)  3 F 2.30-2.51
F (0.0942, 0.8351, 0.1404)  1 Be 1.56
F (0.1224, 0.3552, 0.2606)  1 Be 1.62
F (0.1361, 0.9591, 0.7695)  1 Be 1.60
F (0.5764, 0.7042, 0.2528)  1 Co 1.95
F (0.5794, 0.2769, 0.6673)  1 Co 1.96
F (0.6691, 0.8909, 0.8503)  1 Be 1.56

- Uncorrected energy: -4.515 eV/atom
- Magnetization: 3.1 μB/f.u.